w | Compound: Gd2ThAu
Source: Alexandria via LeMat-Bulk
Functional: PBE
Structure: optimized geometry

Summary:
total moment	43.12	μB per cell
D(E_F)	11.5	states/eV per cell

a b c (Å): 3.5420 3.5420 33.7938
angles (deg): 90.00 90.00 120.00
Closest atoms and distances in Å follow each position.
Space group R-3m (No. 166, hexagonal axes)
One atom of each set of equivalent atoms:
Gd 0.0000 0.0000 0.0842 x6  1 Au 2.85
Th 0.0000 0.0000 0.5000 x3  6 Gd 3.46, 6 Th 3.54
Au 0.0000 0.0000 0.0000 x3  2 Gd 2.85

---

x | Compound: Gd2ThAu
Source: Alexandria via LeMat-Bulk
Functional: PBE
Structure: optimized geometry

Summary:
total moment	14.47	μB per cell
D(E_F)	5.2	states/eV per cell

a b c (Å): 3.6366 3.6366 8.4462
angles (deg): 90.00 90.00 90.00
Closest atoms and distances in Å follow each position.
Space group P4/mmm (No. 123)
One atom of each set of equivalent atoms:
Gd 0.0000 0.0000 0.2128 x2  4 Au 3.14
Th 0.5000 0.5000 0.5000 x1  8 Gd 3.53, 4 Th 3.64
Au 0.5000 0.5000 0.0000 x1  8 Gd 3.14

---

Going by the energies, x is most stable and the next is 0.515 eV/atom up.

---

w | Compound: GdTl2Au
Source: Alexandria via LeMat-Bulk
Functional: PBE
Structure: optimized geometry

Summary:
total moment	23.42	μB per cell
D(E_F)	13.5	states/eV per cell

a b c (Å): 3.5326 3.5326 32.2634
angles (deg): 90.00 90.00 120.00
Closest atoms and distances in Å follow each position.
Space group R-3m (No. 166, hexagonal axes)
One atom of each set of equivalent atoms:
Gd 0.0000 0.0000 0.0000 x3  2 Tl 3.18, 6 Gd 3.53
Tl 0.0000 0.0000 0.0987 x6  3 Au 3.00, 1 Gd 3.18
Au 0.0000 0.0000 0.5000 x3  6 Tl 3.00

---

x | Compound: GdTl2Au
Source: Alexandria via LeMat-Bulk
Functional: PBE
Structure: optimized geometry

Summary:
total moment	7.27	μB per cell
D(E_F)	2.7	states/eV per cell

a b c (Å): 4.5796 4.5796 4.7618
angles (deg): 90.00 90.00 90.00
Closest atoms and distances in Å follow each position.
Space group P4/mmm (No. 123)
One atom of each set of equivalent atoms:
Gd 0.0000 0.0000 0.0000 x1  4 Au 3.24, 8 Tl 3.30
Tl 0.0000 0.5000 0.5000 x2  4 Tl 3.24, 4 Gd 3.30, 4 Au 3.30
Au 0.5000 0.5000 0.0000 x1  4 Gd 3.24, 8 Tl 3.30

---

Going by the energies, x is most stable and the next is 0.444 eV/atom up.

---

w | Compound: Gd2TmAu
Source: Alexandria via LeMat-Bulk
Functional: PBE
Structure: optimized geometry

Summary:
total moment	15.53	μB per cell
D(E_F)	5.3	states/eV per cell

a b c (Å): 4.6671 4.6671 4.8439
angles (deg): 90.00 90.00 90.00
Closest atoms and distances in Å follow each position.
Space group P4/mmm (No. 123)
One atom of each set of equivalent atoms:
Gd 0.0000 0.5000 0.0000 x2  4 Gd 3.30, 4 Tm 3.36, 4 Au 3.36
Tm 0.0000 0.0000 0.5000 x1  4 Au 3.30, 8 Gd 3.36
Au 0.5000 0.5000 0.5000 x1  4 Tm 3.30, 8 Gd 3.36

---

x | Compound: Gd2TmAu
Source: Alexandria via LeMat-Bulk
Functional: PBE
Structure: optimized geometry

Summary:
total moment	15.41	μB per cell
D(E_F)	6.1	states/eV per cell

a b c (Å): 3.6340 3.6340 8.4807
angles (deg): 90.00 90.00 90.00
Closest atoms and distances in Å follow each position.
Space group P4/mmm (No. 123)
One atom of each set of equivalent atoms:
Gd 0.0000 0.0000 0.2123 x2  4 Au 3.14
Tm 0.5000 0.5000 0.5000 x1  8 Gd 3.54, 4 Tm 3.63
Au 0.5000 0.5000 0.0000 x1  8 Gd 3.14

---

Going by the energies, x is most stable and the next is 0.112 eV/atom up.

---

w | Compound: Gd2YAu
Source: Alexandria via LeMat-Bulk
Functional: PBE
Structure: optimized geometry

Summary:
total moment	43.91	μB per cell
D(E_F)	16.7	states/eV per cell

a b c (Å): 3.6916 3.6916 30.3869
angles (deg): 90.00 90.00 120.00
Closest atoms and distances in Å follow each position.
Space group R-3m (No. 166, hexagonal axes)
One atom of each set of equivalent atoms:
Gd 0.0000 0.0000 0.2377 x6  3 Au 3.03
Y 0.0000 0.0000 0.0000 x3  6 Gd 3.60, 6 Y 3.69
Au 0.0000 0.0000 0.5000 x3  6 Gd 3.03

---

x | Compound: Gd2YAu
Source: Alexandria via LeMat-Bulk
Functional: PBE
Structure: optimized geometry

Summary:
total moment	15.37	μB per cell
D(E_F)	6.5	states/eV per cell

a b c (Å): 3.6420 3.6420 8.6415
angles (deg): 90.00 90.00 90.00
Closest atoms and distances in Å follow each position.
Space group P4/mmm (No. 123)
One atom of each set of equivalent atoms:
Gd 0.0000 0.0000 0.2072 x2  4 Au 3.14
Y 0.5000 0.5000 0.5000 x1  8 Gd 3.61, 4 Y 3.64
Au 0.5000 0.5000 0.0000 x1  8 Gd 3.14

---

Going by the energies, x is most stable and the next is 0.119 eV/atom up.

---

w | Compound: GdZrAu
Source: Alexandria via LeMat-Bulk
Functional: PBE
Structure: optimized geometry

Summary:
total moment	14.90	μB per cell
D(E_F)	7.8	states/eV per cell

a b c (Å): 3.4508 3.4508 12.0582
angles (deg): 90.00 90.00 90.00
Closest atoms and distances in Å follow each position.
Space group I4mm (No. 107)
One atom of each set of equivalent atoms:
Gd 0.0000 0.0000 0.0000 x2  4 Au 3.24, 4 Zr 3.35, 4 Gd 3.45
Zr 0.0000 0.0000 0.3100 x2  4 Au 2.92
Au 0.0000 0.0000 0.6763 x2  4 Zr 2.92, 4 Gd 3.24

---

x | Compound: GdZrAu
Source: Alexandria via LeMat-Bulk
Functional: PBE
Structure: optimized geometry

Summary:
total moment	7.20	μB per cell
D(E_F)	3.6	states/eV per cell

a b c (Å): 4.7003 4.7003 4.0082
angles (deg): 90.00 90.00 120.00
Closest atoms and distances in Å follow each position.
Space group P-6m2 (No. 187)
One atom of each set of equivalent atoms:
Gd 0.0000 0.0000 0.0000 x1  6 Zr 3.37, 6 Au 3.37
Zr 0.3333 0.6667 0.5000 x1  3 Au 2.71
Au 0.6667 0.3333 0.5000 x1  3 Zr 2.71

---

Going by the energies, w is most stable and the next is 0.152 eV/atom up.

---

w | Compound: Ge2HAu
Source: Alexandria via LeMat-Bulk
Functional: PBE
Structure: optimized geometry

Summary:
total moment	0.00	μB per cell
D(E_F)	3.2	states/eV per cell

a b c (Å): 4.2273 4.2273 16.3794
angles (deg): 90.00 90.00 120.00
Closest atoms and distances in Å follow each position.
Space group R-3m (No. 166, hexagonal axes)
One atom of each set of equivalent atoms:
Ge 0.0000 0.0000 0.1089 x6  1 H 1.78
H 0.0000 0.0000 0.0000 x3  2 Ge 1.78
Au 0.0000 0.0000 0.5000 x3  6 Ge 2.62

---

x | Compound: Ge2HAu
Source: Alexandria via LeMat-Bulk
Functional: PBE
Structure: optimized geometry

Summary:
total moment	0.00	μB per cell
D(E_F)	4.2	states/eV per cell

a b c (Å): 6.2934 6.2934 6.2934
angles (deg): 90.00 90.00 90.00
Closest atoms and distances in Å follow each position.
Space group Fm-3m (No. 225)
One atom of each set of equivalent atoms:
Ge 0.2500 0.2500 0.2500 x8  4 H 2.73, 4 Au 2.73
H 0.0000 0.0000 0.0000 x4  8 Ge 2.73
Au 0.0000 0.0000 0.5000 x4  8 Ge 2.73

---

Going by the energies, w is most stable and the next is 0.210 eV/atom up.